Below is a relaxed Pm2AlS crystal, with properties calculated at the GGA-PBE level.

Geometry as POSCAR:
```
Pm2AlS
1.0
3.895 0.000 0.000
1.948 3.374 0.000
1.948 1.125 8.041
Pm Al S
2 1 1
direct
0.071 0.071 0.788
0.262 0.262 0.213
0.499 0.499 0.502
0.668 0.668 0.997
```

Calculated values
* crystal system: trigonal
* offset from the most stable computed form: 183 meV per atom
* DOS at the Fermi energy: 1.0371 states/eV per atom
* M_tot: 0.00 μB/f.u.
* raw formation energy: -4.11 eV/f.u.
* total energy: -5.369 eV per atom